No. 1
A relaxed structure of PuMgTlPb. Source: Alexandria, functional GGA-PBE.

Geometry as POSCAR:
```
PuMgTlPb
1.0
-1.137 -1.803 3.887
-1.708 -3.890 -2.304
4.469 -2.147 0.311
Pu Mg Tl Pb
1 1 1 1
direct
0.500 0.000 0.500
0.500 0.500 0.000
0.000 0.000 0.000
0.000 0.500 0.500
```

Computed properties:
The value obtained for the density is 10.61 Mg/m³. The polymorph energy (0 for the lowest one) is 0.000 eV per atom. Its symmetry is Pmmm, No. 47. The value obtained for the formation energy is -0.42 eV per formula unit. The value obtained for the density of states at the Fermi level is 12.632 states/eV/f.u.

No. 2
A relaxed structure of PuMgTlPb. Source: Alexandria, functional GGA-PBE.

Geometry as POSCAR:
```
PuMgTlPb
1.0
5.413 0.000 0.000
2.707 4.688 0.000
2.707 1.563 4.420
Pb Tl Mg Pu
1 1 1 1
direct
0.750 0.750 0.750
0.500 0.500 0.500
0.250 0.250 0.250
0.000 0.000 0.000
```

Computed properties:
The value obtained for the density is 10.06 Mg/m³. The polymorph energy (0 for the lowest one) is 0.226 eV per atom. Its symmetry is F-43m, No. 216. The value obtained for the formation energy is 0.48 eV per formula unit. The value obtained for the density of states at the Fermi level is 14.262 states/eV/f.u.

No. 3
A relaxed structure of PuMgZnPb. Source: Alexandria, functional GGA-PBE.

Geometry as POSCAR:
```
PuMgZnPb
1.0
5.153 0.000 0.000
2.576 4.463 0.000
2.576 1.488 4.207
Pb Zn Mg Pu
1 1 1 1
direct
0.500 0.500 0.500
0.000 0.000 0.000
0.250 0.250 0.250
0.750 0.750 0.750
```

Computed properties:
The value obtained for the density is 9.28 Mg/m³. Its symmetry is F-43m, No. 216. The value obtained for the formation energy is -0.34 eV per formula unit. The value obtained for the density of states at the Fermi level is 11.520 states/eV/f.u.

No. 4
A relaxed structure of RbMg3Pb3. Source: Alexandria, functional GGA-PBE.

Geometry as POSCAR:
```
RbMg3Pb3
1.0
8.200 0.000 0.000
0.000 8.200 0.000
0.000 0.000 8.200
Pb Mg Rb
6 6 2
direct
0.250 0.000 0.500
0.000 0.500 0.250
0.500 0.750 0.000
0.750 0.000 0.500
0.000 0.500 0.750
0.500 0.250 0.000
0.000 0.250 0.500
0.000 0.750 0.500
0.500 0.000 0.750
0.750 0.500 0.000
0.500 0.000 0.250
0.250 0.500 0.000
0.500 0.500 0.500
0.000 0.000 0.000
```

Computed properties:
The value obtained for the density is 4.70 Mg/m³. The polymorph energy (0 for the lowest one) is 0.227 eV per atom. Its symmetry is Pm-3n, No. 223. The value obtained for the formation energy is 1.20 eV per formula unit. The value obtained for the density of states at the Fermi level is 4.739 states/eV/f.u.

No. 5
A relaxed structure of RbMg5Pb2. Source: Alexandria, functional GGA-PBE.

Geometry as POSCAR:
```
RbMg5Pb2
1.0
-4.648 -0.337 0.605
-1.259 -3.301 6.742
-2.083 5.206 5.148
Rb Mg Pb
1 5 2
direct
0.000 0.000 0.000
0.000 0.500 0.500
0.643 0.539 0.176
0.357 0.461 0.824
0.357 0.824 0.461
0.643 0.176 0.539
0.747 0.753 0.753
0.253 0.247 0.247
```

Computed properties:
The value obtained for the density is 4.36 Mg/m³. Its symmetry is Immm, No. 71. The value obtained for the formation energy is -0.52 eV per formula unit. The value obtained for the density of states at the Fermi level is 2.694 states/eV/f.u.

No. 6
A relaxed structure of Rb3Mg3Pb8. Source: Alexandria, functional GGA-PBE.

Geometry as POSCAR:
```
Rb3Mg3Pb8
1.0
5.158 0.000 1.360
1.738 9.050 3.868
0.125 -0.419 9.985
Rb Mg Pb
3 3 8
direct
0.295 0.707 0.702
0.705 0.293 0.298
0.000 0.000 0.000
0.000 0.500 0.500
0.664 0.685 0.986
0.336 0.315 0.014
0.154 0.130 0.562
0.846 0.870 0.438
0.860 0.425 0.855
0.140 0.575 0.145
0.502 0.678 0.318
0.498 0.322 0.682
0.354 0.023 0.270
0.646 0.977 0.730
```

Computed properties:
The value obtained for the density is 6.99 Mg/m³. The polymorph energy (0 for the lowest one) is 0.004 eV per atom. Its symmetry is C2/m, No. 12. The value obtained for the formation energy is -1.25 eV per formula unit. The value obtained for the density of states at the Fermi level is 5.013 states/eV/f.u.

No. 7
A relaxed structure of Rb3MgPb4. Source: Alexandria, functional GGA-PBE.

Geometry as POSCAR:
```
Rb3MgPb4
1.0
-5.429 3.593 1.983
-3.456 -1.720 -6.344
-5.371 -11.446 6.030
Pb Mg Rb
8 2 6
direct
0.319 0.500 0.885
0.319 0.500 0.115
0.045 0.236 0.000
0.045 0.764 0.000
0.955 0.736 0.500
0.955 0.264 0.500
0.681 0.000 0.385
0.681 0.000 0.615
0.708 0.500 0.000
0.292 0.000 0.500
0.549 0.000 0.000
0.451 0.500 0.500
0.826 0.500 0.742
0.826 0.500 0.258
0.174 0.000 0.758
0.174 0.000 0.242
```

Computed properties:
The value obtained for the density is 5.20 Mg/m³. Its symmetry is Pmmn, No. 59. The value obtained for the formation energy is -1.24 eV per formula unit. The value obtained for the density of states at the Fermi level is 2.128 states/eV/f.u.

No. 8
A relaxed structure of Rb2MgPb2. Source: Alexandria, functional GGA-PBE.

Geometry as POSCAR:
```
Rb2MgPb2
1.0
-4.551 -1.141 -3.055
-3.710 -5.499 2.449
-8.550 5.597 5.515
Rb Mg Pb
4 2 4
direct
0.676 0.338 0.310
0.905 0.303 0.887
0.324 0.662 0.690
0.095 0.697 0.113
0.652 0.071 0.625
0.348 0.929 0.375
0.091 0.267 0.551
0.605 0.903 0.888
0.909 0.733 0.449
0.395 0.097 0.112
```

Computed properties:
The value obtained for the density is 4.96 Mg/m³. The polymorph energy (0 for the lowest one) is 0.000 eV per atom. Its symmetry is C2/m, No. 12. The value obtained for the formation energy is -0.36 eV per formula unit. The value obtained for the density of states at the Fermi level is 3.176 states/eV/f.u.

Calculated total energy (eV/atom)
-5.605; -5.380; -5.312; -2.240; -2.109; -2.758; -2.572; -2.262